## ThTl3Sn2S6 (GGA-PBE)

Data for a relaxed structure of ThTl3Sn2S6.

Unit cell a=7.180 b=7.180 c=7.791 alpha=98.76 beta=98.76 gamma=119.97
Fractional coordinates of all 12 atoms:
Tl: 0.168 0.832 0.500
Tl: 0.832 0.168 0.500
Tl: 0.500 0.500 0.500
S: 0.396 0.067 0.203
S: 0.260 0.260 0.796
S: 0.740 0.740 0.204
S: 0.933 0.604 0.797
S: 0.067 0.396 0.203
S: 0.604 0.933 0.797
Th: 0.000 0.000 0.000
Sn: 0.333 0.667 0.000
Sn: 0.667 0.333 0.000

Summary:
Space group: No. 12
Formation energy from raw total energies in eV/atom: -0.774
Size of the total moment in μB/atom: 0.000
Energy in eV/atom: -4.715
Density of states at the Fermi level in states/eV per cell: 7.6

## Na4NbO4 (GGA-PBE)

Data for a relaxed structure of Na4NbO4.

Unit cell a=8.698 b=6.336 c=6.336 alpha=90.00 beta=90.00 gamma=90.00
Fractional coordinates of all 18 atoms:
O: 0.138 0.000 0.770
O: 0.638 0.270 0.500
O: 0.138 0.000 0.230
O: 0.638 0.730 0.500
O: 0.862 0.230 0.000
O: 0.862 0.770 0.000
O: 0.362 0.500 0.730
O: 0.362 0.500 0.270
Nb: 0.500 0.500 0.500
Nb: 0.000 0.000 0.000
Na: 0.327 0.743 0.000
Na: 0.173 0.757 0.500
Na: 0.327 0.257 0.000
Na: 0.673 0.000 0.257
Na: 0.827 0.500 0.757
Na: 0.827 0.500 0.243
Na: 0.173 0.243 0.500
Na: 0.673 0.000 0.743

Summary:
Space group: No. 137
Formation energy from raw total energies in eV/atom: -1.805
Size of the total moment in μB/atom: 0.066
Energy in eV/atom: -5.714
Density of states at the Fermi level in states/eV per cell: 4.8

What did the first record say?
## ThTl3Sn2S6 (GGA-PBE)

Data for a relaxed structure of ThTl3Sn2S6.

Unit cell a=7.180 b=7.180 c=7.791 alpha=98.76 beta=98.76 gamma=119.97
Fractional coordinates of all 12 atoms:
Tl: 0.168 0.832 0.500
Tl: 0.832 0.168 0.500
Tl: 0.500 0.500 0.500
S: 0.396 0.067 0.203
S: 0.260 0.260 0.796
S: 0.740 0.740 0.204
S: 0.933 0.604 0.797
S: 0.067 0.396 0.203
S: 0.604 0.933 0.797
Th: 0.000 0.000 0.000
Sn: 0.333 0.667 0.000
Sn: 0.667 0.333 0.000

Summary:
Space group: No. 12
Formation energy from raw total energies in eV/atom: -0.774
Size of the total moment in μB/atom: 0.000
Energy in eV/atom: -4.715
Density of states at the Fermi level in states/eV per cell: 7.6

Question: size of the total moment of number 1 (ThTl3Sn2S6)?
Answer: 0.000 μB/atom